Entry 1:
Material: RbSr2TlRe
Method: DFT, PBE-GGA
State: optimized geometry

```
data_RbSr2TlRe
_cell_length_a 6.427
_cell_length_b 6.427
_cell_length_c 5.806
_cell_angle_alpha 90.00
_cell_angle_beta 90.00
_cell_angle_gamma 90.00
_symmetry_space_group_name_H-M 'P 4/m m m'
_symmetry_Int_Tables_number 123
_symmetry_space_group_name_Hall '-P 4 2'
loop_
_atom_site_label
_atom_site_type_symbol
_atom_site_fract_x
_atom_site_fract_y
_atom_site_fract_z
Rb1 Rb 0.000 0.000 0.000
Sr1 Sr 0.000 0.500 0.000
Tl1 Tl 0.000 0.000 0.500
Re1 Re 0.500 0.500 0.500
```

Computed properties:
final energy	-1.883	eV/atom
Fermi-level density of states	1.167	states/eV/atom



Entry 2:
Material: Rb2TaRe
Method: DFT, PBE-GGA
State: optimized geometry

```
data_Rb2TaRe
_cell_length_a 13.291
_cell_length_b 13.291
_cell_length_c 4.726
_cell_angle_alpha 90.00
_cell_angle_beta 90.00
_cell_angle_gamma 90.00
_symmetry_space_group_name_H-M 'I -4 2 d'
_symmetry_Int_Tables_number 122
_symmetry_space_group_name_Hall 'I -4 2bw'
loop_
_atom_site_label
_atom_site_type_symbol
_atom_site_fract_x
_atom_site_fract_y
_atom_site_fract_z
Rb1 Rb 0.084 0.250 0.125
Ta1 Ta 0.000 0.000 0.500
Re1 Re 0.000 0.000 0.000
```

Computed properties:
ΔE to the lowest computed polymorph	0	meV/atom
Fermi-level density of states	1.233	states/eV/atom



Entry 3:
Material: RbTaRe2
Method: DFT, PBE-GGA
State: optimized geometry

```
data_RbTaRe2
_cell_length_a 5.025
_cell_length_b 5.025
_cell_length_c 17.831
_cell_angle_alpha 90.00
_cell_angle_beta 90.00
_cell_angle_gamma 90.00
_symmetry_space_group_name_H-M 'I -4 2 d'
_symmetry_Int_Tables_number 122
_symmetry_space_group_name_Hall 'I -4 2bw'
loop_
_atom_site_label
_atom_site_type_symbol
_atom_site_fract_x
_atom_site_fract_y
_atom_site_fract_z
Rb1 Rb 0.000 0.000 0.000
Ta1 Ta 0.000 0.000 0.500
Re1 Re 0.040 0.250 0.625
```

Computed properties:
ΔE to the lowest computed polymorph	105	meV/atom
Fermi-level density of states	1.531	states/eV/atom



Entry 4:
Material: Rb2TaRe
Method: DFT, PBE-GGA
State: optimized geometry

```
data_Rb2TaRe
_cell_length_a 7.578
_cell_length_b 7.578
_cell_length_c 7.578
_cell_angle_alpha 90.00
_cell_angle_beta 90.00
_cell_angle_gamma 90.00
_symmetry_space_group_name_H-M 'F m -3 m'
_symmetry_Int_Tables_number 225
_symmetry_space_group_name_Hall '-F 4 2 3'
loop_
_atom_site_label
_atom_site_type_symbol
_atom_site_fract_x
_atom_site_fract_y
_atom_site_fract_z
Rb1 Rb 0.250 0.250 0.250
Ta1 Ta 0.000 0.000 0.000
Re1 Re 0.000 0.000 0.500
```

Computed properties:
ΔE to the lowest computed polymorph	1317	meV/atom
Fermi-level density of states	1.311	states/eV/atom



Entry 5:
Material: RbTa3Re
Method: DFT, PBE-GGA
State: optimized geometry

```
data_RbTa3Re
_cell_length_a 5.025
_cell_length_b 5.025
_cell_length_c 5.025
_cell_angle_alpha 90.00
_cell_angle_beta 90.00
_cell_angle_gamma 90.00
_symmetry_space_group_name_H-M 'P m -3 m'
_symmetry_Int_Tables_number 221
_symmetry_space_group_name_Hall '-P 4 2 3'
loop_
_atom_site_label
_atom_site_type_symbol
_atom_site_fract_x
_atom_site_fract_y
_atom_site_fract_z
Rb1 Rb 0.000 0.000 0.000
Ta1 Ta 0.000 0.500 0.500
Re1 Re 0.500 0.500 0.500
```

Computed properties:
final energy	-8.294	eV/atom
Fermi-level density of states	1.171	states/eV/atom



Entry 6:
Material: RbTaRe2
Method: DFT, PBE-GGA
State: optimized geometry

```
data_RbTaRe2
_cell_length_a 6.679
_cell_length_b 6.679
_cell_length_c 6.679
_cell_angle_alpha 90.00
_cell_angle_beta 90.00
_cell_angle_gamma 90.00
_symmetry_space_group_name_H-M 'F m -3 m'
_symmetry_Int_Tables_number 225
_symmetry_space_group_name_Hall '-F 4 2 3'
loop_
_atom_site_label
_atom_site_type_symbol
_atom_site_fract_x
_atom_site_fract_y
_atom_site_fract_z
Rb1 Rb 0.000 0.000 0.000
Ta1 Ta 0.000 0.000 0.500
Re1 Re 0.250 0.250 0.250
```

Computed properties:
ΔE to the lowest computed polymorph	0	meV/atom
Fermi-level density of states	1.202	states/eV/atom



Entry 7:
Material: RbReTc2
Method: DFT, PBE-GGA
State: optimized geometry

```
data_RbReTc2
_cell_length_a 7.456
_cell_length_b 7.456
_cell_length_c 6.398
_cell_angle_alpha 90.00
_cell_angle_beta 90.00
_cell_angle_gamma 90.00
_symmetry_space_group_name_H-M 'I -4 2 d'
_symmetry_Int_Tables_number 122
_symmetry_space_group_name_Hall 'I -4 2bw'
loop_
_atom_site_label
_atom_site_type_symbol
_atom_site_fract_x
_atom_site_fract_y
_atom_site_fract_z
Rb1 Rb 0.000 0.000 0.000
Re1 Re 0.000 0.000 0.500
Tc1 Tc 0.178 0.750 0.625
```

Computed properties:
ΔE to the lowest computed polymorph	0	meV/atom
Fermi-level density of states	0.396	states/eV/atom



Entry 8:
Material: Rb2ReTc
Method: DFT, PBE-GGA
State: optimized geometry

```
data_Rb2ReTc
_cell_length_a 8.270
_cell_length_b 8.270
_cell_length_c 8.270
_cell_angle_alpha 90.00
_cell_angle_beta 90.00
_cell_angle_gamma 90.00
_symmetry_space_group_name_H-M 'F m -3 m'
_symmetry_Int_Tables_number 225
_symmetry_space_group_name_Hall '-F 4 2 3'
loop_
_atom_site_label
_atom_site_type_symbol
_atom_site_fract_x
_atom_site_fract_y
_atom_site_fract_z
Rb1 Rb 0.250 0.250 0.250
Re1 Re 0.000 0.000 0.000
Tc1 Tc 0.000 0.000 0.500
```

Computed properties:
ΔE to the lowest computed polymorph	924	meV/atom
Fermi-level density of states	2.012	states/eV/atom



- Among the records above, which one has the highest Fermi-level density of states?
  Rb2ReTc



- Look up the Fermi-level density of states of the first one.
  1.167 states/eV/atom



Please write out number 8 again, unchanged.
Material: Rb2ReTc
Method: DFT, PBE-GGA
State: optimized geometry

```
data_Rb2ReTc
_cell_length_a 8.270
_cell_length_b 8.270
_cell_length_c 8.270
_cell_angle_alpha 90.00
_cell_angle_beta 90.00
_cell_angle_gamma 90.00
_symmetry_space_group_name_H-M 'F m -3 m'
_symmetry_Int_Tables_number 225
_symmetry_space_group_name_Hall '-F 4 2 3'
loop_
_atom_site_label
_atom_site_type_symbol
_atom_site_fract_x
_atom_site_fract_y
_atom_site_fract_z
Rb1 Rb 0.250 0.250 0.250
Re1 Re 0.000 0.000 0.000
Tc1 Tc 0.000 0.000 0.500
```

Computed properties:
ΔE to the lowest computed polymorph	924	meV/atom
Fermi-level density of states	2.012	states/eV/atom



- Which of these has the lowest Fermi-level density of states?
  RbReTc2